A plane-wave DFT calculation with PBE-GGA was carried out for Ho8Pt2Au after structural relaxation.

Unit cell a=8.480 b=13.038 c=5.694 alpha=90.00 beta=107.27 gamma=90.00
Space group Cm (No. 8)
Symmetry-distinct sites (fractional):
Ho: 0.000 0.000 0.000 (multiplicity 2)
Ho: 0.080 0.373 0.773 (multiplicity 4)
Ho: 0.164 0.128 0.586 (multiplicity 4)
Ho: 0.244 0.500 0.369 (multiplicity 2)
Ho: 0.371 0.227 0.185 (multiplicity 4)
Pt: 0.372 0.305 0.685 (multiplicity 4)
Au: 0.371 0.000 0.301 (multiplicity 2)

Computed properties:
Energy of formation from the pure elements ... -0.55 eV/atom
DOS at the Fermi energy ... 1.26 states/eV per atom